GGA+U Li2VZnF6, relaxed; E_tot = -50.43 eV for the cell shown; magnetic moment = 0.3000 μB/atom; crystal system = trigonal; SG = No. 146
1.0
5.223 -0.001 0.000
2.611 4.523 0.001
2.611 1.509 4.746
F Li V Zn
6 2 1 1
Cartesian
4.395 1.422 1.229
7.017 3.097 1.228
6.041 1.651 3.619
4.257 4.529 1.231
5.995 4.409 3.620
3.628 2.990 3.621
2.610 1.507 4.367
5.223 3.015 2.073
7.834 4.524 2.577
2.611 1.508 0.246

---

GGA+U Li3WF, relaxed; E_tot = -12.16 eV for the cell shown; magnetic moment = 1.2000 μB/atom; crystal system = cubic; SG = No. 221
1.0
-0.995 2.835 -4.465
-5.008 -1.967 -0.133
-1.702 4.130 3.002
F Li W
1 3 1
Cartesian
-3.853 2.499 -0.798
-2.504 -0.984 -0.066
-0.498 1.417 -2.233
-0.851 2.065 1.501
0.000 0.000 0.000

---

GGA+U Li2WF8, relaxed; E_tot = -53.55 eV for the cell shown; magnetic moment = 0.0152 μB/atom; crystal system = trigonal; SG = No. 164
1.0
-1.436 0.954 -3.729
4.747 -3.370 -2.690
-5.562 -2.856 1.411
F Li W
8 2 1
Cartesian
2.225 -2.584 -4.899
-4.476 -2.688 -0.110
-1.262 -1.036 -0.924
0.991 -2.984 -2.157
-0.989 -4.236 -4.084
-0.522 -0.638 -3.343
-1.729 -4.634 -1.665
-3.242 -2.288 -2.851
0.288 -2.518 -3.982
-2.539 -2.755 -1.026
-5.562 -2.856 1.411

---

Record order is preserved below.
V: 11.2; 31.2; 13.3 Å³/atom